Entry 1:
VASP calculation (PBE) on a geometry-optimized Cs2RbPu2O7 structure.

a b c (Å): 4.3428 4.3428 12.4139
angles (deg): 79.93 79.93 90.00
Closest atoms and distances in Å follow each position.
Element x y z (fractional)
O: 0.9116 0.4116 0.1769  2 Pu 2.17
O: 0.6702 0.6702 0.6595  1 Pu 1.96
O: 0.3298 0.3298 0.3405  1 Pu 1.96
Cs: 0.8112 0.8112 0.3776  9 O 3.10-3.39
Cs: 0.1888 0.1888 0.6224  9 O 3.10-3.39
O: 0.4116 0.9116 0.1769  2 Pu 2.17
Rb: 0.0000 0.0000 0.0000  12 O 3.04-3.07
Pu: 0.4112 0.4112 0.1776  6 O 1.96-2.17
Pu: 0.5888 0.5888 0.8224  6 O 1.96-2.17
O: 0.0884 0.5884 0.8231  2 Pu 2.17
O: 0.5000 0.5000 0.0000  2 Pu 2.14
O: 0.5884 0.0884 0.8231  2 Pu 2.17

Values from the calculation:
Its space group is No. 139.

Entry 2:
VASP calculation (PBE) on a geometry-optimized CsRb2PuO6 structure.

a b c (Å): 6.8730 6.8685 6.6333
angles (deg): 58.67 58.72 59.94
Closest atoms and distances in Å follow each position.
Element x y z (fractional)
O: 0.4953 0.2088 0.2615  1 Pu 1.95
O: 0.5970 0.1349 0.8428  1 Pu 1.95
O: 0.4256 0.5972 0.8376  1 Pu 1.95
O: 0.0354 0.4975 0.2602  1 Pu 1.95
Cs: 0.8161 0.8161 0.5517  6 O 2.98
Pu: 0.3162 0.3162 0.0515  6 O 1.95
Rb: 0.5584 0.5588 0.3256  6 O 2.90-3.18
O: 0.1372 0.4236 0.8414  1 Pu 1.95
O: 0.2067 0.0352 0.2653  1 Pu 1.95
Rb: 0.0738 0.0735 0.7776  6 O 2.90-3.18

Values from the calculation:
Its space group is No. 2.

Entry 3:
VASP calculation (PBE) on a geometry-optimized Cs2RbPuO5 structure.

a b c (Å): 4.3708 6.6201 7.9541
angles (deg): 114.59 105.95 90.00
Closest atoms and distances in Å follow each position.
Element x y z (fractional)
Cs: 0.2248 0.2248 0.4497  7 O 3.08-3.10
Cs: 0.7752 0.7752 0.5503  7 O 3.08-3.10
O: 0.0000 0.0000 0.0000  2 Pu 2.19
O: 0.3989 0.1072 0.7979  1 Pu 1.96
O: 0.6011 0.8928 0.2021  1 Pu 1.96
O: 0.3989 0.6906 0.7979  1 Pu 1.96
Rb: 0.0000 0.5000 0.0000  10 O 3.23-3.31
Pu: 0.5000 0.0000 0.0000  6 O 1.96-2.19
O: 0.6011 0.3094 0.2021  1 Pu 1.96

Values from the calculation:
Its space group is No. 71.

Entry 4:
VASP calculation (PBE) on a geometry-optimized Cs2Rb3PuO6 structure.

a b c (Å): 7.1419 7.1419 6.7145
angles (deg): 100.54 100.54 120.13
Closest atoms and distances in Å follow each position.
Element x y z (fractional)
O: 0.8275 0.8275 0.1845  1 Pu 2.04
O: 0.9361 0.7038 0.8058  1 Pu 2.05
O: 0.7038 0.9361 0.8058  1 Pu 2.05
Rb: 0.8453 0.1547 0.5000  4 O 2.79-2.83
Cs: 0.6682 0.3318 0.0000  6 O 3.03-3.08
O: 0.2962 0.0639 0.1942  1 Pu 2.05
O: 0.0639 0.2962 0.1942  1 Pu 2.05
Cs: 0.3318 0.6682 0.0000  6 O 3.03-3.08
Rb: 0.1547 0.8453 0.5000  4 O 2.79-2.83
Rb: 0.5000 0.5000 0.5000  4 O 2.84
Pu: 0.0000 0.0000 0.0000  6 O 2.04-2.05
O: 0.1725 0.1725 0.8155  1 Pu 2.04

Values from the calculation:
Its space group is No. 12.

Entry 5:
VASP calculation (PBE) on a geometry-optimized Cs3Rb2PuO6 structure.

a b c (Å): 6.9381 6.9381 6.9569
angles (deg): 99.32 99.32 119.95
Closest atoms and distances in Å follow each position.
Element x y z (fractional)
O: 0.2992 0.0604 0.1784  1 Pu 2.04
Cs: 0.5000 0.5000 0.5000  4 O 2.96
Cs: 0.8329 0.1671 0.5000  4 O 2.93-2.95
O: 0.1776 0.1776 0.8135  1 Pu 2.06
Pu: 0.0000 0.0000 0.0000  6 O 2.04-2.06
Cs: 0.1671 0.8329 0.5000  4 O 2.93-2.95
O: 0.9396 0.7008 0.8216  1 Pu 2.04
Rb: 0.6667 0.3333 0.0000  6 O 2.93-2.97
Rb: 0.3333 0.6667 0.0000  6 O 2.93-2.97
O: 0.8224 0.8224 0.1865  1 Pu 2.06
O: 0.7008 0.9396 0.8216  1 Pu 2.04
O: 0.0604 0.2992 0.1784  1 Pu 2.04

Values from the calculation:
Its space group is No. 12.

Entry 6:
VASP calculation (PBE) on a geometry-optimized CsPuRe2O8 structure.

a b c (Å): 5.8021 5.8021 9.4215
angles (deg): 72.07 72.07 60.00
Closest atoms and distances in Å follow each position.
Element x y z (fractional)
Pu: 0.0000 0.0000 0.0000  6 O 2.31
Cs: 0.5000 0.5000 0.5000  12 O 3.42-3.80
O: 0.4014 0.7658 0.8469  1 Re 1.82
O: 0.2342 0.0141 0.1531  1 Re 1.82
O: 0.5986 0.2342 0.1531  1 Re 1.82
O: 0.8076 0.8076 0.5772  1 Re 1.77
O: 0.0141 0.5986 0.1531  1 Re 1.82
O: 0.9859 0.4014 0.8469  1 Re 1.82
Re: 0.7407 0.7407 0.7779  4 O 1.77-1.82
Re: 0.2593 0.2593 0.2221  4 O 1.77-1.82
O: 0.1924 0.1924 0.4228  1 Re 1.77
O: 0.7658 0.9859 0.8469  1 Re 1.82

Values from the calculation:
Its space group is No. 148.

Entry 7:
VASP calculation (PBE) on a geometry-optimized CsPu2ReO8 structure.

a b c (Å): 4.6903 4.7225 9.9993
angles (deg): 79.94 89.69 93.47
Closest atoms and distances in Å follow each position.
Element x y z (fractional)
O: 0.2255 0.8965 0.8578  1 Re 1.92
Pu: 0.4075 0.4662 0.8272  2 O 1.88-2.08
O: 0.1410 0.7144 0.1414  1 Re 1.93
O: 0.6938 0.7162 0.9723  1 Re 1.96, 1 Pu 2.08
O: 0.5232 0.3837 0.3575  1 Pu 1.88
O: 0.3062 0.2838 0.0277  1 Re 1.96, 1 Pu 2.08
O: 0.8590 0.2856 0.8586  1 Re 1.93
O: 0.4768 0.6163 0.6425  1 Pu 1.88
Pu: 0.5925 0.5338 0.1728  2 O 1.88-2.08
Re: 0.0000 0.0000 0.0000  6 O 1.92-1.96
Cs: 0.0000 0.0000 0.5000  4 O 3.14-3.15
O: 0.7745 0.1035 0.1422  1 Re 1.92

Values from the calculation:
Its space group is No. 2.

Entry 8:
VASP calculation (PBE) on a geometry-optimized Cs2Pu3RhO12 structure.

a b c (Å): 7.4999 7.4999 7.4999
angles (deg): 63.14 63.14 63.14
Closest atoms and distances in Å follow each position.
Element x y z (fractional)
O: 0.3082 0.9396 0.9396  1 Pu 1.96, 1 Rh 2.01
O: 0.9400 0.3203 0.3203  2 Pu 2.11
Pu: 0.5000 0.0000 0.0000  6 O 1.96-2.11
O: 0.0600 0.6797 0.6797  2 Pu 2.11
O: 0.6797 0.6797 0.0600  2 Pu 2.11
O: 0.0604 0.0604 0.6918  1 Pu 1.96, 1 Rh 2.01
Rh: 0.0000 0.0000 0.0000  6 O 2.01
O: 0.6797 0.0600 0.6797  2 Pu 2.11
O: 0.0604 0.6918 0.0604  1 Pu 1.96, 1 Rh 2.01
O: 0.3203 0.3203 0.9400  2 Pu 2.11
O: 0.9396 0.3082 0.9396  1 Pu 1.96, 1 Rh 2.01
Cs: 0.3724 0.3724 0.3724  9 O 3.34-3.64
Pu: 0.0000 0.0000 0.5000  6 O 1.96-2.11
Pu: 0.0000 0.5000 0.0000  6 O 1.96-2.11
O: 0.6918 0.0604 0.0604  1 Pu 1.96, 1 Rh 2.01
Cs: 0.6276 0.6276 0.6276  9 O 3.34-3.64
O: 0.9396 0.9396 0.3082  1 Pu 1.96, 1 Rh 2.01
O: 0.3203 0.9400 0.3203  2 Pu 2.11

Values from the calculation:
Its space group is No. 166.

Number 1: total energy -7.878 eV per atom. Number 2: total energy -6.469 eV per atom. Number 3: total energy -6.746 eV per atom. Number 4: total energy -5.954 eV per atom. Number 5: total energy -5.950 eV per atom. Number 6: total energy -8.557 eV per atom. Number 7: total energy -8.974 eV per atom. Number 8: total energy -8.373 eV per atom.